Below is crystalline La2SmSb at its relaxed geometry, with properties calculated at the GGA-PBE level.

Cell lengths 4.6514, 4.6284, 12.2794 Å; angles 90.00, 101.02, 90.00 degrees
Last column: nearest neighbours and their distance in Å.
Atoms (fractional coordinates):
La (0.0442, 0.7500, 0.1252)  4 La 3.20-3.37, 2 Sb 3.51
La (0.4215, 0.7500, 0.8591)  4 La 3.20-3.37, 2 Sb 3.35-3.39
La (0.9558, 0.2500, 0.8748)  4 La 3.20-3.37, 2 Sb 3.51
La (0.5785, 0.2500, 0.1409)  4 La 3.20-3.37, 2 Sb 3.35-3.39
Sb (0.8255, 0.7500, 0.6562)  5 Sm 3.16-3.34, 4 La 3.35-3.51
Sb (0.1745, 0.2500, 0.3438)  5 Sm 3.16-3.34, 4 La 3.35-3.51
Sm (0.6976, 0.7500, 0.3940)  5 Sb 3.16-3.34
Sm (0.3024, 0.2500, 0.6060)  5 Sb 3.16-3.34

The total energy comes out at -5.242 eV/atom. As for the density of states at the Fermi level: 8.3 states/eV per cell. The calculation puts the energy relative to the elements, uncorrected at -0.568 eV per atom. The offset from the most stable computed form comes out at 25 meV per atom. As for the magnetic moment: 0.0 μB/f.u.